# PmDyTh2Rh4, relaxed, DFT GGA-PBE
# total energy = -0.27430 Ha/atom
# formation enthalpy at 0 K = -6.12 eV per formula unit
data_PmDyTh2Rh4
_space_group_name_H-M_alt 'F m m 2'
_space_group_IT_number 42
_space_group_name_Hall 'F 2 -2'
_cell_length_a 7.903
_cell_length_b 11.219
_cell_length_c 8.386
_cell_angle_alpha 90.00
_cell_angle_beta 90.00
_cell_angle_gamma 90.00
loop_
_atom_site_label
_atom_site_fract_x
_atom_site_fract_y
_atom_site_fract_z
Pm1 0.000 0.000 0.000
Dy1 0.000 0.000 0.572
Th1 0.250 0.250 0.225
Rh1 0.000 0.232 0.470
Rh2 0.201 0.000 0.284